[1]
An optimized crystal structure of Nd2GaPt4. Source: the Alexandria database, functional PBE.

Results
As for the total energy: -5.833 eV per atom. The formation energy from the elements is -56.63 kJ per mole of atoms.

Cell: 4.675 4.675 14.972 Å, 90.00 90.00 90.00°
Space group I4/mmm (No. 139)
Inequivalent atoms, fractional coordinates:
Nd  0.000  0.000  0.144
Ga  0.000  0.000  0.500
Pt  0.000  0.000  0.334
Pt  0.000  0.500  0.000



[2]
An optimized crystal structure of NdGa3Pt. Source: the Alexandria database, functional PBE.

Results
As for the total energy: -4.669 eV per atom. The offset from the most stable computed form comes out at 0.068 eV/atom. The formation energy from the elements is -66.73 kJ per mole of atoms.

Cell: 4.188 4.188 5.689 Å, 90.00 90.00 90.00°
Space group P4mm (No. 99)
Inequivalent atoms, fractional coordinates:
Nd  0.000  0.000  0.000
Ga  0.000  0.500  0.489
Ga  0.500  0.500  0.782
Pt  0.500  0.500  0.216



[3]
An optimized crystal structure of Nd4Ga3Pt. Source: the Alexandria database, functional PBE.

Results
As for the total energy: -4.978 eV per atom. The formation energy from the elements is -67.93 kJ per mole of atoms.

Cell: 4.312 4.374 10.948 Å, 90.00 90.00 90.00°
Space group Pmm2 (No. 25)
Inequivalent atoms, fractional coordinates:
Nd  0.000  0.000  0.000
Nd  0.000  0.500  0.484
Nd  0.500  0.000  0.705
Nd  0.500  0.500  0.209
Ga  0.000  0.500  0.777
Ga  0.500  0.000  0.421
Ga  0.500  0.500  0.923
Pt  0.000  0.000  0.275



[4]
An optimized crystal structure of Nd5Ga2Pt. Source: the Alexandria database, functional PBE.

Results
As for the total energy: -5.068 eV per atom. The formation energy from the elements is -55.64 kJ per mole of atoms.

Cell: 7.658 12.508 4.749 Å, 90.00 90.00 90.00°
Space group Pbam (No. 55)
Inequivalent atoms, fractional coordinates:
Nd  0.000  0.000  0.000
Nd  0.151  0.288  0.000
Nd  0.183  0.580  0.500
Ga  0.069  0.833  0.500
Pt  0.000  0.500  0.000